Below is a relaxed MnBi12W2Cl3O24 crystal, with properties calculated at the PBE+U level.

a = 8.8953 Å, b = 8.8953 Å, c = 15.4870 Å
α = 110.25°, β = 110.25°, γ = 36.10°
Last column: nearest neighbours and their distance in Å.
Element x y z (fractional)
Mn 0.0000 0.0000 0.0000  6 O 1.94-2.11
Bi 0.0706 0.0706 0.8252  3 O 2.18-2.26
Bi 0.1088 0.1088 0.3589  4 O 2.23-2.27
Bi 0.1873 0.1873 0.1748  3 O 2.18-2.26
Bi 0.1999 0.1999 0.6381  4 O 2.21-2.29
Bi 0.4068 0.4068 0.8195  3 O 2.25-2.27
Bi 0.4412 0.4412 0.3618  4 O 2.21-2.29
Bi 0.5268 0.5268 0.1802  3 O 2.25-2.27
Bi 0.5350 0.5350 0.6413  4 O 2.24-2.25
Bi 0.7433 0.7433 0.8132  3 O 2.25-2.27
Bi 0.7739 0.7739 0.3588  4 O 2.24-2.25
Bi 0.8678 0.8678 0.1870  3 O 2.25-2.27
Bi 0.8695 0.8695 0.6408  4 O 2.23-2.27
W 0.3379 0.3379 0.9999  6 O 1.88-2.00
W 0.6674 0.6674 0.0000  6 O 1.86-2.03
Cl 0.3271 0.3271 0.4992  8 Bi 3.35-3.55, 8 O 3.63-3.72
Cl 0.6607 0.6607 0.4981  8 Bi 3.37-3.59, 8 O 3.67
Cl 0.9955 0.9955 0.5026  8 Bi 3.33-3.60, 8 O 3.61-3.71
O 0.0039 0.5091 0.9999  2 W 1.96-2.03
O 0.0494 0.0494 0.1340  1 Mn 1.94
O 0.0652 0.5595 0.7144  3 Bi 2.23-2.29
O 0.0824 0.5934 0.2875  3 Bi 2.21-2.25
O 0.1807 0.6550 0.0001  1 W 1.88, 1 Mn 2.01
O 0.2280 0.7317 0.7182  3 Bi 2.24-2.27
O 0.2553 0.7497 0.2854  3 Bi 2.23-2.29
O 0.2922 0.2922 0.8611  1 W 2.00
O 0.3429 0.8462 0.9999  1 W 1.86
O 0.3846 0.3846 0.1388  1 W 2.00
O 0.4020 0.8910 0.7127  3 Bi 2.21-2.25
O 0.4158 0.9197 0.2817  3 Bi 2.24-2.27
O 0.5091 0.0039 0.9999  2 W 1.96-2.03
O 0.5595 0.0652 0.7144  3 Bi 2.23-2.29
O 0.5934 0.0824 0.2875  3 Bi 2.21-2.25
O 0.6331 0.6331 0.8642  1 W 1.97
O 0.6550 0.1807 0.0001  1 W 1.88, 1 Mn 2.01
O 0.7235 0.7235 0.1356  1 W 1.97
O 0.7317 0.2280 0.7182  3 Bi 2.24-2.27
O 0.7497 0.2553 0.2854  3 Bi 2.23-2.29
O 0.8462 0.3429 0.9999  1 W 1.86
O 0.8910 0.4020 0.7127  3 Bi 2.21-2.25
O 0.9197 0.4158 0.2817  3 Bi 2.24-2.27
O 0.9599 0.9599 0.8659  1 Mn 1.94

Calculated values
Total magnetization ... 4.0 Bohr magnetons per cell
Final energy ... -6.005 eV per atom